DFT (GGA-PBE) results for a relaxed Er2Al4RhAu3 crystal.

```
Er2Al4RhAu3
1.0
-1.675 0.910 3.688
-2.969 -2.827 -0.651
6.294 -7.706 4.759
Al Au Er Rh
4 3 2 1
Cartesian
0.000 0.000 0.000
0.846 -4.267 1.436
-2.322 -0.959 1.518
3.126 -4.398 4.841
3.147 -3.853 2.379
-0.579 -2.522 0.359
4.551 -6.142 5.918
0.768 -1.511 3.058
3.204 -7.154 3.219
0.825 -4.812 3.898
```

Computed properties:
Final energy   -4.86 eV/atom

=====

DFT (GGA-PBE) results for a relaxed ErScAlAu crystal.

```
ErScAlAu
1.0
-1.274 2.989 -3.749
1.175 -1.228 -4.661
-3.556 -1.379 -3.173
Au Sc Er Al
1 1 1 1
Cartesian
-0.914 0.095 -2.896
0.000 0.000 0.000
-1.828 0.191 -5.792
-2.742 0.286 -8.687
```

Computed properties:
Final energy   -5.05 eV/atom

=====

DFT (GGA-PBE) results for a relaxed ErSc2AlAu4 crystal.

```
ErSc2AlAu4
1.0
-3.440 3.175 -0.785
-2.334 -0.004 -4.132
-7.371 -4.082 1.441
Sc Au Al Er
2 4 1 1
Cartesian
-3.386 -0.322 -0.812
-9.758 -0.588 -2.664
-8.401 -2.181 -0.704
-4.744 1.270 -2.772
-7.796 1.263 -3.774
-5.349 -2.174 0.298
-6.572 -0.455 -1.738
0.000 0.000 0.000
```

Computed properties:
Final energy   -5.01 eV/atom

=====

DFT (GGA-PBE) results for a relaxed SmEr2AlAu4 crystal.

```
SmEr2AlAu4
1.0
-1.597 4.486 1.226
-0.405 1.256 4.736
7.227 4.744 1.912
Er Sm Au Al
2 1 4 1
Cartesian
1.515 2.696 1.967
3.710 7.790 5.908
0.000 0.000 0.000
5.229 6.181 3.912
4.320 3.702 1.940
0.905 6.784 5.935
-0.004 4.305 3.962
2.613 5.243 3.937
```

Computed properties:
Final energy   -4.59 eV/atom

=====

DFT (GGA-PBE) results for a relaxed SmErAlAu crystal.

```
SmErAlAu
1.0
-4.093 1.732 2.635
-4.320 -2.825 0.211
-1.379 -2.284 4.424
Au Al Sm Er
1 1 1 1
Cartesian
0.000 0.000 0.000
-4.896 -1.689 3.635
-2.448 -0.844 1.818
-7.344 -2.533 5.453
```

Computed properties:
Final energy   -4.62 eV/atom

=====

DFT (GGA-PBE) results for a relaxed TbEr2AlAu4 crystal.

```
TbEr2AlAu4
1.0
-4.686 -0.731 1.303
-3.324 -1.288 -3.390
-1.040 -8.603 0.719
Au Al Er Tb
4 1 2 1
Cartesian
-1.638 -5.695 0.200
-5.089 -2.565 -1.173
-7.412 -4.926 -1.568
-3.961 -8.056 -0.194
-4.525 -5.311 -0.684
-2.228 -2.825 -0.312
-6.822 -7.797 -1.056
0.000 0.000 0.000
```

Computed properties:
Final energy   -4.59 eV/atom

=====

DFT (GGA-PBE) results for a relaxed ErThAl2Au4 crystal.

```
ErThAl2Au4
1.0
4.587 0.000 0.000
2.294 3.973 0.000
2.294 1.324 9.181
Au Al Th Er
4 2 1 1
Cartesian
2.294 1.324 5.954
4.587 2.648 7.589
6.881 3.973 3.227
4.587 2.648 1.593
2.294 1.324 2.507
6.881 3.973 6.674
0.000 0.000 0.000
4.587 2.648 4.591
```

Computed properties:
Final energy   -4.75 eV/atom

=====

DFT (GGA-PBE) results for a relaxed Er2TiAl4Au3 crystal.

```
Er2TiAl4Au3
1.0
-3.185 -1.917 1.888
1.779 -3.695 -0.751
5.485 0.630 9.893
Al Au Ti Er
4 3 1 2
Cartesian
1.942 -0.552 7.318
0.000 0.000 0.000
2.840 -1.623 3.144
-0.703 -2.806 0.569
2.743 0.315 4.946
3.147 -0.414 9.492
1.635 -1.762 0.970
2.040 -2.491 5.515
-0.208 -0.799 3.441
4.990 -1.376 7.021
```

Computed properties:
Final energy   -4.77 eV/atom

=====

DFT (GGA-PBE) results for a relaxed Er2TmAlAu4 crystal.

```
Er2TmAlAu4
1.0
4.908 0.000 0.000
2.454 4.251 0.000
2.454 1.417 8.139
Er Au Al Tm
2 4 1 1
Cartesian
2.454 1.417 2.191
7.363 4.251 5.948
2.454 1.417 5.164
4.908 2.834 7.190
4.908 2.834 0.949
7.363 4.251 2.975
4.908 2.834 4.070
0.000 0.000 0.000
```

Computed properties:
Final energy   -4.59 eV/atom

=====

DFT (GGA-PBE) results for a relaxed YEr2AlAu4 crystal.

```
YEr2AlAu4
1.0
-4.092 2.621 0.742
-4.136 -1.174 -2.383
-4.851 -4.549 5.594
Au Er Al Y
4 2 1 1
Cartesian
-9.002 -0.398 0.610
-5.811 0.189 -0.147
-7.269 -3.291 4.100
-4.078 -2.705 3.343
-3.314 -0.882 1.118
-9.766 -2.221 2.835
-6.540 -1.551 1.976
0.000 0.000 0.000
```

Computed properties:
Final energy   -4.83 eV/atom

=====

DFT (GGA-PBE) results for a relaxed ErAlZn2Au5 crystal.

```
ErAlZn2Au5
1.0
-1.566 -4.486 0.460
5.219 -1.665 1.530
-3.381 4.299 5.641
Al Au Zn Er
1 5 2 1
Cartesian
-0.783 -2.243 0.230
0.172 0.452 4.995
2.611 -3.106 3.372
-2.340 1.253 4.259
0.100 -2.305 2.636
0.000 0.000 0.000
0.853 -2.310 5.150
-0.581 0.457 2.481
2.609 -0.833 0.765
```

Computed properties:
Final energy   -3.26 eV/atom

=====

DFT (GGA-PBE) results for a relaxed Er2AlZn4Au3 crystal.

```
Er2AlZn4Au3
1.0
3.992 0.000 0.000
0.000 3.992 0.000
0.000 0.000 11.998
Au Al Zn Er
3 1 4 2
Cartesian
0.000 0.000 5.999
0.000 1.996 1.781
1.996 0.000 10.217
1.996 1.996 5.999
0.000 1.996 4.312
1.996 0.000 7.686
1.996 1.996 0.000
0.000 0.000 0.000
0.000 1.996 8.930
1.996 0.000 3.069
```

Computed properties:
Final energy   -3.27 eV/atom